! Li3Sn5 | Alexandria via LeMat-Bulk | PBE-GGA | optimized geometry; values from VASP
&SYSTEM
  ibrav = 0, nat = 8, ntyp = 2
/
ATOMIC_SPECIES
Li 6.94 Li.upf
Sn 118.71 Sn.upf
ATOMIC_POSITIONS crystal
Li 0.500 0.762 0.238
Li 0.000 0.500 0.500
Sn 0.500 0.727 0.727
Li 0.500 0.238 0.762
Sn 0.000 0.500 0.000
Sn 0.000 0.000 0.000
Sn 0.000 0.000 0.500
Sn 0.500 0.273 0.273
CELL_PARAMETERS angstrom
4.566 0.000 0.000
0.000 6.358 -0.149
0.000 0.079 6.360
! Symmetry   Cmmm (65)
! Electronic total energy   -27.5 eV per cell
! Magnetic moment   0.00 μB per formula unit
! E above lowest polymorph   0 meV per atom
! Theoretical density   5524 kg/m³
! Energy of formation   -0.218 eV per atom

! Li4Sn3 | Alexandria via LeMat-Bulk | PBE-GGA | optimized geometry; values from VASP
&SYSTEM
  ibrav = 0, nat = 7, ntyp = 2
/
ATOMIC_SPECIES
Li 6.94 Li.upf
Sn 118.71 Sn.upf
ATOMIC_POSITIONS crystal
Li 0.430 0.430 0.859
Li 0.142 0.142 0.284
Sn 0.289 0.289 0.579
Li 0.570 0.570 0.141
Sn 0.711 0.711 0.421
Sn 0.000 0.000 0.000
Li 0.858 0.858 0.716
CELL_PARAMETERS angstrom
-1.174 2.128 -2.834
0.122 -2.959 -2.272
-9.286 -1.820 4.938
! Symmetry   I4/mmm (139)
! Electronic total energy   -21.7 eV per cell
! Magnetic moment   0.00 μB per formula unit
! E above lowest polymorph   49 meV per atom
! Theoretical density   4423 kg/m³
! Energy of formation   -0.298 eV per atom

! Li8Sn | Alexandria via LeMat-Bulk | PBE-GGA | optimized geometry; values from VASP
&SYSTEM
  ibrav = 0, nat = 9, ntyp = 2
/
ATOMIC_SPECIES
Li 6.94 Li.upf
Sn 118.71 Sn.upf
ATOMIC_POSITIONS crystal
Li 0.328 0.672 0.672
Li 0.672 0.328 0.328
Li 0.657 0.000 0.686
Li 0.000 0.328 0.672
Sn 0.000 0.000 0.000
Li 0.343 0.000 0.314
Li 0.000 0.672 0.328
Li 0.343 0.314 0.000
Li 0.657 0.686 0.000
CELL_PARAMETERS angstrom
4.630 0.000 0.000
2.315 6.085 0.000
2.315 0.000 6.085
! Symmetry   I4/mmm (139)
! Electronic total energy   -20.7 eV per cell
! Magnetic moment   0.00 μB per formula unit
! Theoretical density   1688 kg/m³
! Energy of formation   -0.155 eV per atom

Number 1: Fermi-level density of states 0.35 states/eV/atom. Number 2: Fermi-level density of states 0.19 states/eV/atom. Number 3: Fermi-level density of states 0.48 states/eV/atom.